#i
Here is a geometry-optimized Sm4TmAl structure from Alexandria. Energies are from PBE-GGA.

Unit cell a=3.569 b=3.569 c=14.301 alpha=90.00 beta=90.00 gamma=90.00
Space group P4/mmm (No. 123)
Asymmetric unit:
Sm1 0.000 0.000 0.137 [2 per cell]
Sm2 0.500 0.500 0.323 [2 per cell]
Tm1 0.000 0.000 0.500 [1 per cell]
Al1 0.500 0.500 0.000 [1 per cell]

=====

#ii
Here is a geometry-optimized Sm4TmAl structure from Alexandria. Energies are from PBE-GGA.

Unit cell a=8.848 b=14.021 c=6.311 alpha=90.00 beta=109.24 gamma=90.00
Space group C2/c (No. 15)
Asymmetric unit:
Sm1 0.100 0.185 0.047 [8 per cell]
Sm2 0.218 0.387 0.375 [8 per cell]
Tm1 0.000 0.408 0.750 [4 per cell]
Al1 0.000 0.000 0.250 [4 per cell]

=====

Question: of the structures shown, which is the most stable? Reply: #i.